Material: UTl3I6
Method: DFT, PBE
State: optimized geometry

```
20
Lattice="8.2736 0.0000 0.0000 0.0000 9.2161 0.0000 -7.2907 0.0000 12.0268" Properties=species:S:1:pos:R:3 pbc="T T T"
U 0.0000 0.0000 0.0000
U -3.6453 4.6080 6.0134
Tl -3.0720 0.8989 9.3239
Tl 0.5733 3.7091 3.3105
Tl 0.4915 0.0000 6.0134
Tl 4.1368 4.6080 0.0000
Tl 0.4097 5.5069 8.7163
Tl 4.0550 8.3172 2.7029
I -1.0444 0.5757 2.8934
I -4.6897 4.0323 8.9068
I 1.3663 6.5697 0.9973
I -2.2791 7.2543 7.0107
I 2.6418 1.5510 0.6270
I -1.0036 3.0570 6.6404
I 1.9865 6.1590 5.3864
I -1.6588 7.6650 11.3998
I 3.2620 1.9617 5.0161
I -0.3833 2.6463 11.0295
I 5.6727 5.1837 3.1200
I 2.0273 8.6404 9.1334
```

Calculated values
space-group type: P2_1/c, No. 14
calculated total energy: -3.4876 eV/atom
Fermi-level density of states: 0.05 states/eV/atom
E_form (uncorrected): -719 meV per atom
spin magnetization: 6.0 μB/cell